A.
! Tb3Pr6Tm2 PBE-GGA relaxed; values from VASP
&SYSTEM
  ibrav = 0, nat = 11, ntyp = 3
/
ATOMIC_SPECIES
Tb 158.93 Tb.upf
Pr 140.91 Pr.upf
Tm 168.93 Tm.upf
CELL_PARAMETERS angstrom
-2.387 2.387 17.116
2.387 -2.387 17.116
2.387 2.387 -17.116
ATOMIC_POSITIONS angstrom
Tb 0.000 0.000 0.000
Tb 0.000 0.000 6.603
Tb 0.000 0.000 27.630
Pr 2.387 0.000 4.063
Pr 0.000 0.000 10.038
Pr 2.387 0.000 13.053
Pr 0.000 2.387 4.063
Pr 0.000 0.000 24.195
Pr 0.000 2.387 13.053
Tm 0.000 0.000 15.589
Tm 0.000 0.000 18.644
! - Fermi-level density of states (states/eV per cell) = 16.77
! - total magnetization (μB per cell) = 0.00
! - space group = I4/mmm (139)



B.
! Tb3Pr6Tm2 PBE-GGA relaxed; values from VASP
&SYSTEM
  ibrav = 0, nat = 11, ntyp = 3
/
ATOMIC_SPECIES
Tb 158.93 Tb.upf
Pr 140.91 Pr.upf
Tm 168.93 Tm.upf
CELL_PARAMETERS angstrom
6.168 0.000 0.000
3.013 6.168 0.000
0.120 0.052 9.893
ATOMIC_POSITIONS angstrom
Tb 0.000 0.000 0.000
Tb 3.511 5.086 6.262
Tb 5.788 1.133 3.631
Pr 3.508 3.997 2.696
Pr 2.681 1.721 5.419
Pr 2.813 0.663 1.802
Pr 6.487 5.557 8.091
Pr 6.619 4.499 4.474
Pr 5.792 2.223 7.197
Tm 2.913 2.849 8.907
Tm 6.387 3.371 0.986
! - Fermi-level density of states (states/eV per cell) = 18.13
! - total magnetization (μB per cell) = 0.00
! - space group = P-1 (2)



Relative to the most stable structure, the computed energies are A 214; B 0, all in meV/atom.



A.
! Tb4Pr4Tm3 PBE-GGA relaxed; values from VASP
&SYSTEM
  ibrav = 0, nat = 11, ntyp = 3
/
ATOMIC_SPECIES
Tb 158.93 Tb.upf
Pr 140.91 Pr.upf
Tm 168.93 Tm.upf
CELL_PARAMETERS angstrom
3.543 0.000 0.000
0.000 5.698 0.000
1.771 2.847 17.858
ATOMIC_POSITIONS angstrom
Tb 0.885 1.421 7.310
Tb 0.885 4.272 2.489
Tb 4.429 4.272 15.369
Tb 4.430 7.123 10.547
Pr 0.885 4.270 5.705
Pr 0.886 1.423 0.681
Pr 4.428 7.121 17.177
Pr 4.430 4.275 12.152
Tm 2.659 7.123 13.755
Tm 2.657 4.272 8.929
Tm 2.656 1.421 4.103
! - Fermi-level density of states (states/eV per cell) = 18.45
! - total magnetization (μB per cell) = 0.00
! - space group = P-1 (2)



B.
! Tb4Pr4Tm3 PBE-GGA relaxed; values from VASP
&SYSTEM
  ibrav = 0, nat = 11, ntyp = 3
/
ATOMIC_SPECIES
Tb 158.93 Tb.upf
Pr 140.91 Pr.upf
Tm 168.93 Tm.upf
CELL_PARAMETERS angstrom
18.161 -2.831 0.000
18.161 2.831 0.000
-0.345 0.000 3.540
ATOMIC_POSITIONS angstrom
Tb 1.558 0.000 0.145
Tb 11.463 0.000 1.140
Tb 24.514 0.000 2.400
Tb 34.420 0.000 3.395
Pr 7.943 0.000 0.772
Pr 14.398 0.000 3.215
Pr 21.580 0.000 0.325
Pr 28.035 0.000 2.768
Tm 4.474 0.000 2.212
Tm 17.989 0.000 1.770
Tm 31.503 0.000 1.328
! - Fermi-level density of states (states/eV per cell) = 18.23
! - total magnetization (μB per cell) = 0.01
! - space group = C2/m (12)



Relative to the most stable structure, the computed energies are A 34; B 0, all in meV/atom.



A.
! Tb2Pr7Tm3 PBE-GGA relaxed; values from VASP
&SYSTEM
  ibrav = 0, nat = 12, ntyp = 3
/
ATOMIC_SPECIES
Tb 158.93 Tb.upf
Pr 140.91 Pr.upf
Tm 168.93 Tm.upf
CELL_PARAMETERS angstrom
5.901 0.000 0.000
0.000 3.641 0.000
-1.368 0.000 19.112
ATOMIC_POSITIONS angstrom
Tb 0.794 0.000 5.714
Tb 3.739 0.000 13.398
Pr 0.796 1.821 2.778
Pr 0.788 0.000 8.898
Pr 0.817 0.000 15.581
Pr 2.950 1.821 0.000
Pr 3.716 0.000 3.531
Pr 3.745 0.000 10.214
Pr 3.737 1.821 16.334
Tm 0.000 0.000 0.000
Tm 0.812 1.821 12.080
Tm 3.721 1.821 7.032
! - Fermi-level density of states (states/eV per cell) = 17.11
! - total magnetization (μB per cell) = 0.00
! - space group = P2/m (10)



B.
! Tb2Pr7Tm3 PBE-GGA relaxed; values from VASP
&SYSTEM
  ibrav = 0, nat = 12, ntyp = 3
/
ATOMIC_SPECIES
Tb 158.93 Tb.upf
Pr 140.91 Pr.upf
Tm 168.93 Tm.upf
CELL_PARAMETERS angstrom
6.505 0.000 0.000
0.000 3.576 0.000
-1.777 0.000 17.545
ATOMIC_POSITIONS angstrom
Tb 0.086 0.000 2.984
Tb 4.643 0.000 14.561
Pr -0.888 1.788 8.773
Pr 0.278 0.000 11.814
Pr -0.087 0.000 17.425
Pr 1.216 1.788 5.854
Pr 3.512 1.788 11.692
Pr 4.815 0.000 0.120
Pr 4.450 0.000 5.731
Tm 1.484 1.788 14.756
Tm 2.364 0.000 8.773
Tm 3.244 1.788 2.789
! - Fermi-level density of states (states/eV per cell) = 17.03
! - total magnetization (μB per cell) = 0.00
! - space group = P2/m (10)



Relative to the most stable structure, the computed energies are A 25; B 0, all in meV/atom.



A.
! TbPr2Tm9 PBE-GGA relaxed; values from VASP
&SYSTEM
  ibrav = 0, nat = 12, ntyp = 3
/
ATOMIC_SPECIES
Tb 158.93 Tb.upf
Pr 140.91 Pr.upf
Tm 168.93 Tm.upf
CELL_PARAMETERS angstrom
4.996 0.000 0.000
0.000 4.996 0.000
0.000 0.000 14.981
ATOMIC_POSITIONS angstrom
Tb 0.000 0.000 0.000
Pr 0.000 0.000 4.989
Pr 0.000 0.000 9.991
Tm 0.000 2.498 2.461
Tm 0.000 2.498 7.490
Tm 0.000 2.498 12.520
Tm 2.498 0.000 2.461
Tm 2.498 0.000 7.490
Tm 2.498 0.000 12.520
Tm 2.498 2.498 0.000
Tm 2.498 2.498 4.972
Tm 2.498 2.498 10.009
! - Fermi-level density of states (states/eV per cell) = 17.34
! - total magnetization (μB per cell) = 0.00
! - space group = P4/mmm (123)



B.
! TbPr2Tm9 PBE-GGA relaxed; values from VASP
&SYSTEM
  ibrav = 0, nat = 12, ntyp = 3
/
ATOMIC_SPECIES
Tb 158.93 Tb.upf
Pr 140.91 Pr.upf
Tm 168.93 Tm.upf
CELL_PARAMETERS angstrom
11.182 0.000 0.000
-5.591 9.684 0.000
0.000 0.000 3.480
ATOMIC_POSITIONS angstrom
Tb 0.000 0.000 0.000
Pr 0.000 6.456 0.000
Pr 5.591 3.228 0.000
Tm -2.795 4.842 0.000
Tm 0.000 3.372 1.740
Tm -2.671 7.998 1.740
Tm 2.920 1.686 1.740
Tm 5.591 0.000 0.000
Tm 2.795 4.842 0.000
Tm 2.671 7.998 1.740
Tm 8.262 1.686 1.740
Tm 5.591 6.312 1.740
! - Fermi-level density of states (states/eV per cell) = 19.89
! - total magnetization (μB per cell) = 0.00
! - space group = P6/mmm (191)



Relative to the most stable structure, the computed energies are A 0; B 50, all in meV/atom.



A.
! Tb7PrTm3 PBE-GGA relaxed; values from VASP
&SYSTEM
  ibrav = 0, nat = 11, ntyp = 3
/
ATOMIC_SPECIES
Tb 158.93 Tb.upf
Pr 140.91 Pr.upf
Tm 168.93 Tm.upf
CELL_PARAMETERS angstrom
6.950 0.000 0.000
0.000 5.552 0.000
-3.278 0.000 9.290
ATOMIC_POSITIONS angstrom
Tb 0.000 0.000 0.000
Tb 0.074 2.776 2.695
Tb 0.168 2.776 5.979
Tb 0.234 0.000 7.734
Tb 3.439 0.000 1.557
Tb 3.505 2.776 3.311
Tb 3.598 2.776 6.596
Pr -1.639 0.000 4.645
Tm -1.347 2.776 9.253
Tm 1.836 0.000 4.645
Tm 5.019 2.776 0.037
! - Fermi-level density of states (states/eV per cell) = 15.95
! - total magnetization (μB per cell) = 0.00
! - space group = P2/m (10)



B.
! Tb7PrTm3 PBE-GGA relaxed; values from VASP
&SYSTEM
  ibrav = 0, nat = 11, ntyp = 3
/
ATOMIC_SPECIES
Tb 158.93 Tb.upf
Pr 140.91 Pr.upf
Tm 168.93 Tm.upf
CELL_PARAMETERS angstrom
7.069 0.000 0.000
-3.535 6.122 0.000
0.000 0.000 8.577
ATOMIC_POSITIONS angstrom
Tb 0.000 0.000 0.000
Tb 0.000 2.023 2.846
Tb -1.783 5.110 2.846
Tb 3.535 0.015 8.518
Tb 1.780 3.053 8.518
Tb 1.783 5.110 2.846
Tb 5.289 3.053 8.518
Pr 3.535 2.041 2.779
Tm 1.759 1.016 5.700
Tm 5.310 1.016 5.700
Tm 3.535 4.091 5.700
! - Fermi-level density of states (states/eV per cell) = 17.55
! - total magnetization (μB per cell) = 0.00
! - space group = P3m1 (156)



Relative to the most stable structure, the computed energies are A 0; B 60, all in meV/atom.



A.
! Tb2Pr3Tm2 PBE-GGA relaxed; values from VASP
&SYSTEM
  ibrav = 0, nat = 7, ntyp = 3
/
ATOMIC_SPECIES
Tb 158.93 Tb.upf
Pr 140.91 Pr.upf
Tm 168.93 Tm.upf
CELL_PARAMETERS angstrom
3.560 0.000 0.000
-1.780 8.429 0.000
-0.005 -4.207 7.743
ATOMIC_POSITIONS angstrom
Tb -0.003 -0.634 3.342
Tb 1.778 4.856 4.401
Pr 0.000 0.000 0.000
Pr -0.002 1.956 5.517
Pr 1.778 2.266 2.226
Tm -0.003 5.386 1.289
Tm 1.778 -1.165 6.454
! - Fermi-level density of states (states/eV per cell) = 9.19
! - total magnetization (μB per cell) = 0.00
! - space group = P-1 (2)



B.
! Tb2Pr3Tm2 PBE-GGA relaxed; values from VASP
&SYSTEM
  ibrav = 0, nat = 7, ntyp = 3
/
ATOMIC_SPECIES
Tb 158.93 Tb.upf
Pr 140.91 Pr.upf
Tm 168.93 Tm.upf
CELL_PARAMETERS angstrom
8.837 -1.764 0.000
8.837 1.764 0.000
-4.090 0.000 7.533
ATOMIC_POSITIONS angstrom
Tb -0.541 0.000 3.095
Tb 14.125 0.000 4.438
Pr 2.169 0.000 5.307
Pr 8.837 0.000 0.000
Pr 11.415 0.000 2.226
Tm 5.590 0.000 1.336
Tm 7.993 0.000 6.196
! - Fermi-level density of states (states/eV per cell) = 10.93
! - total magnetization (μB per cell) = 0.00
! - space group = C2/m (12)



Relative to the most stable structure, the computed energies are A 0; B 74, all in meV/atom.



A.
! Tb2Pr3Tm3 PBE-GGA relaxed; values from VASP
&SYSTEM
  ibrav = 0, nat = 8, ntyp = 3
/
ATOMIC_SPECIES
Tb 158.93 Tb.upf
Pr 140.91 Pr.upf
Tm 168.93 Tm.upf
CELL_PARAMETERS angstrom
-2.523 2.549 10.186
2.523 -2.549 10.186
2.523 2.549 -10.186
ATOMIC_POSITIONS angstrom
Tb 0.000 0.000 5.075
Tb 0.000 0.000 15.297
Pr 0.000 0.000 0.000
Pr 2.523 0.000 7.649
Pr 0.000 2.549 2.536
Tm 2.523 0.000 2.572
Tm 0.000 0.000 10.186
Tm 0.000 2.549 7.613
! - Fermi-level density of states (states/eV per cell) = 12.26
! - total magnetization (μB per cell) = 0.00
! - space group = Immm (71)



B.
! Tb2Pr3Tm3 PBE-GGA relaxed; values from VASP
&SYSTEM
  ibrav = 0, nat = 8, ntyp = 3
/
ATOMIC_SPECIES
Tb 158.93 Tb.upf
Pr 140.91 Pr.upf
Tm 168.93 Tm.upf
CELL_PARAMETERS angstrom
8.167 -2.868 0.000
8.167 2.868 0.000
-2.106 0.000 5.671
ATOMIC_POSITIONS angstrom
Tb 3.702 0.000 1.024
Tb 10.526 0.000 4.647
Pr 4.269 0.000 4.538
Pr 7.114 0.000 2.836
Pr 9.959 0.000 1.134
Tm 0.000 0.000 0.000
Tm 0.931 0.000 3.295
Tm 13.297 0.000 2.377
! - Fermi-level density of states (states/eV per cell) = 13.32
! - total magnetization (μB per cell) = 0.00
! - space group = C2/m (12)



Relative to the most stable structure, the computed energies are A 0; B 67, all in meV/atom.



A.
! Tb6Pr2Tm3 PBE-GGA relaxed; values from VASP
&SYSTEM
  ibrav = 0, nat = 11, ntyp = 3
/
ATOMIC_SPECIES
Tb 158.93 Tb.upf
Pr 140.91 Pr.upf
Tm 168.93 Tm.upf
CELL_PARAMETERS angstrom
3.057 -5.302 0.000
3.057 5.302 0.000
-2.061 0.000 11.545
ATOMIC_POSITIONS angstrom
Tb 1.015 1.767 2.824
Tb -0.020 0.000 8.720
Tb 1.015 -1.767 2.824
Tb 3.039 1.767 8.722
Tb 4.074 0.000 2.826
Tb 3.039 -1.767 8.722
Pr 2.027 3.533 5.773
Pr 2.027 -3.533 5.773
Tm 0.000 0.000 0.000
Tm 3.057 1.754 0.000
Tm 3.057 -1.754 0.000
! - Fermi-level density of states (states/eV per cell) = 17.63
! - total magnetization (μB per cell) = 0.00
! - space group = C2/m (12)



B.
! Tb6Pr2Tm3 PBE-GGA relaxed; values from VASP
&SYSTEM
  ibrav = 0, nat = 11, ntyp = 3
/
ATOMIC_SPECIES
Tb 158.93 Tb.upf
Pr 140.91 Pr.upf
Tm 168.93 Tm.upf
CELL_PARAMETERS angstrom
-2.369 2.369 16.713
2.369 -2.369 16.713
2.369 2.369 -16.713
ATOMIC_POSITIONS angstrom
Tb 2.369 0.000 4.117
Tb 0.000 0.000 6.605
Tb 2.369 0.000 12.596
Tb 0.000 2.369 4.117
Tb 0.000 0.000 26.821
Tb 0.000 2.369 12.596
Pr 0.000 0.000 1.548
Pr 0.000 0.000 31.879
Tm 0.000 0.000 10.015
Tm 0.000 0.000 16.713
Tm 0.000 0.000 23.411
! - Fermi-level density of states (states/eV per cell) = 15.56
! - total magnetization (μB per cell) = 0.00
! - space group = I4/mmm (139)



Relative to the most stable structure, the computed energies are A 0; B 99, all in meV/atom.



A.
! Tb4Pr3Tm4 PBE-GGA relaxed; values from VASP
&SYSTEM
  ibrav = 0, nat = 11, ntyp = 3
/
ATOMIC_SPECIES
Tb 158.93 Tb.upf
Pr 140.91 Pr.upf
Tm 168.93 Tm.upf
CELL_PARAMETERS angstrom
10.651 0.000 0.000
0.000 2.852 6.011
0.000 -2.852 6.011
ATOMIC_POSITIONS angstrom
Tb 0.000 0.000 0.000
Tb 2.295 0.000 9.535
Tb 5.326 0.000 11.194
Tb 8.356 0.000 9.535
Pr 0.000 0.000 3.573
Pr 3.085 0.000 5.440
Pr 7.566 0.000 5.440
Tm 0.000 0.000 7.224
Tm 3.187 0.000 1.768
Tm 5.326 0.000 7.908
Tm 7.464 0.000 1.768
! - Fermi-level density of states (states/eV per cell) = 16.45
! - total magnetization (μB per cell) = 0.00
! - space group = Amm2 (38)



B.
! Tb4Pr3Tm4 PBE-GGA relaxed; values from VASP
&SYSTEM
  ibrav = 0, nat = 11, ntyp = 3
/
ATOMIC_SPECIES
Tb 158.93 Tb.upf
Pr 140.91 Pr.upf
Tm 168.93 Tm.upf
CELL_PARAMETERS angstrom
3.585 0.000 0.000
0.000 5.036 0.000
1.745 2.514 19.686
ATOMIC_POSITIONS angstrom
Tb 0.877 1.262 8.019
Tb 2.651 3.773 17.068
Tb 2.680 3.777 2.617
Tb 4.453 6.288 11.667
Pr 0.884 1.261 4.439
Pr 2.665 3.775 9.843
Pr 4.447 6.289 15.247
Tm 0.895 1.259 0.868
Tm 2.653 3.768 13.431
Tm 2.678 3.782 6.255
Tm 4.435 6.291 18.818
! - Fermi-level density of states (states/eV per cell) = 13.71
! - total magnetization (μB per cell) = 0.00
! - space group = P-1 (2)



Relative to the most stable structure, the computed energies are A 137; B 0, all in meV/atom.



A.
! Tb4Pr5Tm2 PBE-GGA relaxed; values from VASP
&SYSTEM
  ibrav = 0, nat = 11, ntyp = 3
/
ATOMIC_SPECIES
Tb 158.93 Tb.upf
Pr 140.91 Pr.upf
Tm 168.93 Tm.upf
CELL_PARAMETERS angstrom
-1.768 4.617 11.836
1.768 -4.617 11.836
1.768 4.617 -11.836
ATOMIC_POSITIONS angstrom
Tb 0.000 0.000 2.292
Tb 1.768 1.746 0.000
Tb 0.000 2.871 11.836
Tb 0.000 0.000 21.379
Pr 1.768 2.746 -3.514
Pr 1.768 2.746 3.514
Pr 0.000 4.617 0.000
Pr 0.000 1.871 8.322
Pr 0.000 1.871 15.349
Tm 0.000 0.000 5.441
Tm 0.000 0.000 18.230
! - Fermi-level density of states (states/eV per cell) = 18.06
! - total magnetization (μB per cell) = 0.00
! - space group = Immm (71)



B.
! Tb4Pr5Tm2 PBE-GGA relaxed; values from VASP
&SYSTEM
  ibrav = 0, nat = 11, ntyp = 3
/
ATOMIC_SPECIES
Tb 158.93 Tb.upf
Pr 140.91 Pr.upf
Tm 168.93 Tm.upf
CELL_PARAMETERS angstrom
8.892 -1.784 0.000
8.892 1.784 0.000
-0.803 0.000 11.676
ATOMIC_POSITIONS angstrom
Tb 0.453 0.000 3.060
Tb 6.222 0.000 2.397
Tb 10.760 0.000 9.279
Tb 16.529 0.000 8.617
Pr 1.309 0.000 6.262
Pr 3.094 0.000 0.846
Pr 8.892 0.000 0.000
Pr 13.888 0.000 10.831
Pr 15.673 0.000 5.414
Tm 4.540 0.000 7.548
Tm 12.442 0.000 4.129
! - Fermi-level density of states (states/eV per cell) = 15.23
! - total magnetization (μB per cell) = 0.00
! - space group = C2/m (12)



Relative to the most stable structure, the computed energies are A 129; B 0, all in meV/atom.



A.
! Tb3Pr2Tm2 PBE-GGA relaxed; values from VASP
&SYSTEM
  ibrav = 0, nat = 14, ntyp = 3
/
ATOMIC_SPECIES
Tb 158.93 Tb.upf
Pr 140.91 Pr.upf
Tm 168.93 Tm.upf
CELL_PARAMETERS angstrom
6.273 0.000 0.000
0.000 6.077 0.000
-2.331 0.000 12.020
ATOMIC_POSITIONS angstrom
Tb 0.000 0.000 0.000
Tb -1.166 3.039 6.010
Tb 0.748 0.452 10.325
Tb 1.914 2.587 4.315
Tb 2.028 3.490 7.705
Tb 3.193 5.625 1.695
Pr -0.984 3.685 9.494
Pr 0.181 5.430 3.484
Pr 3.760 0.647 8.536
Pr 4.926 2.392 2.526
Tm 0.490 0.252 6.808
Tm 1.656 2.787 0.798
Tm 2.285 3.290 11.222
Tm 3.451 5.825 5.212
! - Fermi-level density of states (states/eV per cell) = 21.38
! - total magnetization (μB per cell) = 0.00
! - space group = P2_1/c (14)



B.
! Tb3Pr2Tm2 PBE-GGA relaxed; values from VASP
&SYSTEM
  ibrav = 0, nat = 7, ntyp = 3
/
ATOMIC_SPECIES
Tb 158.93 Tb.upf
Pr 140.91 Pr.upf
Tm 168.93 Tm.upf
CELL_PARAMETERS angstrom
8.793 -1.758 0.000
8.793 1.758 0.000
-4.145 0.000 7.497
ATOMIC_POSITIONS angstrom
Tb 0.000 0.000 0.000
Tb 3.195 0.000 0.950
Tb 10.245 0.000 6.547
Pr 6.455 0.000 2.100
Pr 6.984 0.000 5.397
Tm 0.729 0.000 3.491
Tm 12.711 0.000 4.007
! - Fermi-level density of states (states/eV per cell) = 10.77
! - total magnetization (μB per cell) = 0.00
! - space group = C2/m (12)



Relative to the most stable structure, the computed energies are A 0; B 30, all in meV/atom.